A plane-wave DFT calculation with GGA-PBE was carried out for a relaxed structure of LaBeCu4. Values from VASP.

Quantum ESPRESSO input file:
```
&SYSTEM
  ibrav = 0, nat = 6, ntyp = 3
/
ATOMIC_SPECIES
Be 9.01 Be.upf
Cu 63.55 Cu.upf
La 138.91 La.upf
CELL_PARAMETERS angstrom
-1.647 -4.760 0.690
1.481 -2.634 4.088
-3.327 -1.027 3.704
ATOMIC_POSITIONS angstrom
Be 0.000 0.000 0.000
Cu -1.301 -3.138 3.161
Cu -2.140 -5.563 3.512
Cu -0.547 -4.480 5.243
Cu -2.996 -3.661 5.048
La -2.620 -6.315 6.362
```

Calculated values
calculated total energy = -25.0 eV per cell
symmetry = No. 216
energy of formation from the pure elements = 0.005 eV per atom

***

A plane-wave DFT calculation with GGA-PBE was carried out for a relaxed structure of FeSiTc2. Values from VASP.

Quantum ESPRESSO input file:
```
&SYSTEM
  ibrav = 0, nat = 4, ntyp = 3
/
ATOMIC_SPECIES
Tc 98.00 Tc.upf
Fe 55.84 Fe.upf
Si 28.09 Si.upf
CELL_PARAMETERS angstrom
-5.520 3.472 -1.327
0.405 -4.016 1.207
-1.812 0.503 2.276
ATOMIC_POSITIONS angstrom
Tc 0.000 0.000 0.000
Tc -3.666 1.987 0.474
Fe -0.703 -1.757 1.741
Si -2.557 -0.272 -0.060
```

Calculated values
calculated total energy = -35.6 eV per cell
symmetry = No. 65
formation energy without anion corrections = -0.2403 eV/atom

***

A plane-wave DFT calculation with GGA-PBE was carried out for a relaxed structure of NaSr2TmS4. Values from VASP.

Quantum ESPRESSO input file:
```
&SYSTEM
  ibrav = 0, nat = 8, ntyp = 4
/
ATOMIC_SPECIES
Na 22.99 Na.upf
Tm 168.93 Tm.upf
S 32.06 S.upf
Sr 87.62 Sr.upf
CELL_PARAMETERS angstrom
4.121 0.000 0.000
0.000 7.148 0.199
0.000 -2.444 6.639
ATOMIC_POSITIONS angstrom
Na 2.061 3.574 0.099
Tm 0.000 0.000 0.000
S 2.061 1.105 1.545
S 2.061 3.599 5.292
S 0.000 -0.174 5.128
S 0.000 4.879 1.709
Sr 0.000 2.352 3.419
Sr 2.061 -1.222 3.319
```

Calculated values
calculated total energy = -41.2 eV per cell
symmetry = No. 10
formation energy without anion corrections = -1.9366 eV/atom

***

A plane-wave DFT calculation with GGA-PBE was carried out for a relaxed structure of Tb5Fe2Au. Values from VASP.

Quantum ESPRESSO input file:
```
&SYSTEM
  ibrav = 0, nat = 16, ntyp = 3
/
ATOMIC_SPECIES
Fe 55.84 Fe.upf
Tb 158.93 Tb.upf
Au 196.97 Au.upf
CELL_PARAMETERS angstrom
-5.680 1.219 -4.482
0.630 -6.813 -2.651
-1.954 0.425 8.598
ATOMIC_POSITIONS angstrom
Fe -3.382 0.009 -3.006
Fe -4.688 -3.049 -5.611
Fe -1.668 -5.603 -4.127
Fe -0.362 -2.544 -1.522
Tb -1.280 -3.301 4.632
Tb -2.450 0.289 5.282
Tb -1.809 -5.041 -1.177
Tb -5.195 -0.128 2.642
Tb 0.000 0.000 0.000
Tb -4.554 -5.457 -3.817
Tb -4.025 -3.718 1.991
Tb -2.979 -1.451 -0.527
Tb -5.724 -1.868 -3.167
Tb -2.525 -2.797 -3.566
Au -4.765 -3.983 -1.051
Au -2.240 -1.186 2.516
```

Calculated values
calculated total energy = -90.4 eV per cell
symmetry = No. 140
energy of formation from the pure elements = -0.230 eV per atom

***

A plane-wave DFT calculation with GGA-PBE was carried out for a relaxed structure of NaEr2Hg. Values from VASP.

Quantum ESPRESSO input file:
```
&SYSTEM
  ibrav = 0, nat = 4, ntyp = 3
/
ATOMIC_SPECIES
Hg 200.59 Hg.upf
Er 167.26 Er.upf
Na 22.99 Na.upf
CELL_PARAMETERS angstrom
-0.080 2.528 -2.725
-3.687 0.287 0.375
1.057 6.151 5.675
ATOMIC_POSITIONS angstrom
Hg -1.884 1.408 -1.175
Er 0.219 1.272 1.173
Er 0.839 4.879 4.502
Na -1.355 4.483 1.663
```

Calculated values
calculated total energy = -10.9 eV per cell
symmetry = No. 123
energy of formation from the pure elements = -0.034 eV per atom
distance to the lowest polymorph of the same formula = 0.019 eV/f.u.

***

A plane-wave DFT calculation with GGA-PBE was carried out for a relaxed structure of NaAcGeAs. Values from VASP.

Quantum ESPRESSO input file:
```
&SYSTEM
  ibrav = 0, nat = 4, ntyp = 4
/
ATOMIC_SPECIES
As 74.92 As.upf
Ge 72.64 Ge.upf
Ac 227.00 Ac.upf
Na 22.99 Na.upf
CELL_PARAMETERS angstrom
5.302 0.000 0.000
2.651 4.592 0.000
2.651 1.531 4.329
ATOMIC_POSITIONS angstrom
As 7.953 4.592 3.247
Ge 2.651 1.531 1.082
Ac 5.302 3.061 2.165
Na 0.000 0.000 0.000
```

Calculated values
calculated total energy = -16.4 eV per cell
symmetry = No. 216
energy of formation from the pure elements = -0.434 eV per atom

***

A plane-wave DFT calculation with GGA-PBE was carried out for a relaxed structure of NdSm6In2. Values from VASP.

Quantum ESPRESSO input file:
```
&SYSTEM
  ibrav = 0, nat = 9, ntyp = 3
/
ATOMIC_SPECIES
Sm 150.36 Sm.upf
Nd 144.24 Nd.upf
In 114.82 In.upf
CELL_PARAMETERS angstrom
4.921 -0.015 -0.008
0.050 8.448 0.033
0.050 4.237 7.308
ATOMIC_POSITIONS angstrom
Sm 3.653 2.493 1.443
Sm 1.362 6.724 5.885
Sm 3.659 5.946 1.448
Sm 1.368 10.178 5.890
Sm 1.362 8.452 2.898
Sm 3.659 4.218 4.434
Nd 0.000 0.000 0.000
In 3.828 8.446 4.888
In 1.193 4.224 2.445
```

Calculated values
calculated total energy = -37.8 eV per cell
symmetry = No. 12
energy of formation from the pure elements = 0.084 eV per atom
distance to the lowest polymorph of the same formula = 2.503 eV/f.u.

***

A plane-wave DFT calculation with GGA-PBE was carried out for a relaxed structure of Tb2ScZn. Values from VASP.

Quantum ESPRESSO input file:
```
&SYSTEM
  ibrav = 0, nat = 4, ntyp = 3
/
ATOMIC_SPECIES
Sc 44.96 Sc.upf
Zn 65.41 Zn.upf
Tb 158.93 Tb.upf
CELL_PARAMETERS angstrom
5.225 0.000 0.000
2.613 4.525 0.000
2.613 1.508 4.266
ATOMIC_POSITIONS angstrom
Sc 0.000 0.000 0.000
Zn 5.225 3.017 2.133
Tb 7.838 4.525 3.200
Tb 2.613 1.508 1.067
```

Calculated values
calculated total energy = -16.9 eV per cell
symmetry = No. 225
energy of formation from the pure elements = -0.013 eV per atom
distance to the lowest polymorph of the same formula = 0.502 eV/f.u.

***

A plane-wave DFT calculation with GGA-PBE was carried out for a relaxed structure of MgSc2. Values from VASP.

Quantum ESPRESSO input file:
```
&SYSTEM
  ibrav = 0, nat = 6, ntyp = 2
/
ATOMIC_SPECIES
Sc 44.96 Sc.upf
Mg 24.30 Mg.upf
CELL_PARAMETERS angstrom
0.712 -0.936 -6.059
2.964 1.276 -5.261
5.439 -5.398 -0.385
ATOMIC_POSITIONS angstrom
Sc 4.564 -3.318 -3.681
Sc 5.260 -1.331 -11.157
Sc 3.856 -3.727 -0.549
Sc 4.552 -1.740 -8.025
Mg 1.464 -0.015 -4.090
Mg 7.652 -5.043 -7.616
```

Calculated values
calculated total energy = -28.6 eV per cell
symmetry = No. 12
energy of formation from the pure elements = -0.019 eV per atom

***

A plane-wave DFT calculation with GGA-PBE was carried out for a relaxed structure of Nd3Ho3Tm8. Values from VASP.

Quantum ESPRESSO input file:
```
&SYSTEM
  ibrav = 0, nat = 14, ntyp = 3
/
ATOMIC_SPECIES
Tm 168.93 Tm.upf
Ho 164.93 Ho.upf
Nd 144.24 Nd.upf
CELL_PARAMETERS angstrom
5.483 0.011 1.118
2.679 9.200 0.767
1.019 -3.146 9.026
ATOMIC_POSITIONS angstrom
Tm 7.222 5.256 6.535
Tm 3.938 1.287 8.672
Tm 6.882 2.724 8.228
Tm 1.958 0.809 4.376
Tm 5.242 4.777 2.239
Tm 4.511 -0.660 5.876
Tm 2.298 3.341 2.682
Tm 4.669 6.724 5.035
Ho 4.063 4.820 8.021
Ho 5.117 1.245 2.889
Ho 4.590 3.032 5.455
Nd 2.372 6.922 2.290
Nd 2.741 0.005 0.559
Nd 1.325 -0.869 7.502
```

Calculated values
calculated total energy = -62.2 eV per cell
symmetry = No. 71
energy of formation from the pure elements = 0.111 eV per atom

***

A plane-wave DFT calculation with GGA-PBE was carried out for a relaxed structure of LaNp2S6. Values from VASP.

Quantum ESPRESSO input file:
```
&SYSTEM
  ibrav = 0, nat = 9, ntyp = 3
/
ATOMIC_SPECIES
Np 237.00 Np.upf
La 138.91 La.upf
S 32.06 S.upf
CELL_PARAMETERS angstrom
-0.214 -5.051 -0.831
6.245 -3.137 1.668
-1.160 -3.675 6.841
ATOMIC_POSITIONS angstrom
Np 1.329 -5.325 0.437
Np 3.542 -6.538 7.241
La 2.542 -3.406 4.255
S 2.797 -8.987 6.524
S -0.058 -3.515 5.587
S 4.929 -8.348 2.091
S 3.685 -6.139 4.775
S 2.074 -2.876 1.155
S 1.186 -5.725 2.903
```

Calculated values
calculated total energy = -68.1 eV per cell
symmetry = No. 12
formation energy without anion corrections = -1.3867 eV/atom

***

A plane-wave DFT calculation with GGA-PBE was carried out for a relaxed structure of Al2TcPt. Values from VASP.

Quantum ESPRESSO input file:
```
&SYSTEM
  ibrav = 0, nat = 8, ntyp = 3
/
ATOMIC_SPECIES
Tc 98.00 Tc.upf
Al 26.98 Al.upf
Pt 195.08 Pt.upf
CELL_PARAMETERS angstrom
-6.633 -1.217 0.510
1.036 -3.188 5.873
-3.142 0.254 4.585
ATOMIC_POSITIONS angstrom
Tc -2.452 -2.568 6.825
Tc -2.798 -2.202 3.192
Al -4.470 -1.416 5.749
Al -7.238 -3.709 9.108
Al -0.872 -2.064 4.874
Al -4.896 -1.113 2.206
Pt -6.286 -1.583 4.143
Pt 0.000 0.000 0.000
```

Calculated values
calculated total energy = -48.6 eV per cell
symmetry = No. 122
energy of formation from the pure elements = -0.096 eV per atom

***

Repeat the ninth record exactly.
A plane-wave DFT calculation with GGA-PBE was carried out for a relaxed structure of MgSc2. Values from VASP.

Quantum ESPRESSO input file:
```
&SYSTEM
  ibrav = 0, nat = 6, ntyp = 2
/
ATOMIC_SPECIES
Sc 44.96 Sc.upf
Mg 24.30 Mg.upf
CELL_PARAMETERS angstrom
0.712 -0.936 -6.059
2.964 1.276 -5.261
5.439 -5.398 -0.385
ATOMIC_POSITIONS angstrom
Sc 4.564 -3.318 -3.681
Sc 5.260 -1.331 -11.157
Sc 3.856 -3.727 -0.549
Sc 4.552 -1.740 -8.025
Mg 1.464 -0.015 -4.090
Mg 7.652 -5.043 -7.616
```

Calculated values
calculated total energy = -28.6 eV per cell
symmetry = No. 12
energy of formation from the pure elements = -0.019 eV per atom